(1)
A geometry-optimized AlP2PdO structure. Source: Alexandria via LeMat-Bulk, functional PBE.

## Properties
For the total energy, the calculation gives -5.080 eV per atom. As for the symmetry: P4/mmm, No. 123. As for the uncorrected formation energy: -137 meV per atom.

abc: 4.877 4.877 3.326
angles: 90.00 90.00 90.00
Sites, in units of the cell vectors:
1 Al 0.000 0.000 0.000
2 P 0.000 0.500 0.000
3 P 0.500 0.000 0.000
4 Pd 0.500 0.500 0.500
5 O 0.000 0.000 0.500

---

(2)
A geometry-optimized AlPPdO2 structure. Source: Alexandria via LeMat-Bulk, functional PBE.

## Properties
For the total energy, the calculation gives -5.681 eV per atom. As for the symmetry: P4/mmm, No. 123. As for the uncorrected formation energy: -829 meV per atom.

abc: 3.467 3.467 7.030
angles: 90.00 90.00 90.00
Sites, in units of the cell vectors:
1 Al 0.000 0.000 0.000
2 P 0.000 0.000 0.500
3 Pd 0.500 0.500 0.500
4 O 0.000 0.500 0.000
5 O 0.500 0.000 0.000

---

(3)
A geometry-optimized AlPPdO2 structure. Source: Alexandria via LeMat-Bulk, functional PBE.

## Properties
For the total energy, the calculation gives -4.731 eV per atom. As for the symmetry: P4/mmm, No. 123. As for the uncorrected formation energy: 121 meV per atom.

abc: 3.869 3.869 4.986
angles: 90.00 90.00 90.00
Sites, in units of the cell vectors:
1 Al 0.000 0.000 0.000
2 P 0.500 0.500 0.000
3 Pd 0.500 0.500 0.500
4 O 0.000 0.500 0.500
5 O 0.500 0.000 0.500

---

(4)
A geometry-optimized PrAlP2O8 structure. Source: Alexandria via LeMat-Bulk, functional PBE.

## Properties
For the total energy, the calculation gives -7.674 eV per atom. As for the symmetry: P-3, No. 147. As for the uncorrected formation energy: -2757 meV per atom.

abc: 4.961 4.961 6.715
angles: 90.00 90.00 120.00
Sites, in units of the cell vectors:
1 Pr 0.000 0.000 0.000
2 Al 0.000 0.000 0.500
3 P 0.333 0.667 0.747
4 P 0.667 0.333 0.253
5 O 0.104 0.332 0.678
6 O 0.228 0.896 0.678
7 O 0.332 0.228 0.322
8 O 0.333 0.667 0.977
9 O 0.667 0.333 0.023
10 O 0.668 0.772 0.678
11 O 0.772 0.104 0.322
12 O 0.896 0.668 0.322

---

(5)
A geometry-optimized AlPPtO2 structure. Source: Alexandria via LeMat-Bulk, functional PBE.

## Properties
For the total energy, the calculation gives -5.880 eV per atom. As for the symmetry: P4/mmm, No. 123. As for the uncorrected formation energy: -858 meV per atom.

abc: 3.451 3.451 7.862
angles: 90.00 90.00 90.00
Sites, in units of the cell vectors:
1 Al 0.000 0.000 0.000
2 P 0.000 0.000 0.500
3 Pt 0.500 0.500 0.500
4 O 0.000 0.500 0.000
5 O 0.500 0.000 0.000

---

(6)
A geometry-optimized AlPPtO2 structure. Source: Alexandria via LeMat-Bulk, functional PBE.

## Properties
For the total energy, the calculation gives -4.982 eV per atom. As for the symmetry: P4/mmm, No. 123. As for the uncorrected formation energy: 40 meV per atom.

abc: 3.851 3.851 5.122
angles: 90.00 90.00 90.00
Sites, in units of the cell vectors:
1 Al 0.000 0.000 0.000
2 P 0.500 0.500 0.000
3 Pt 0.500 0.500 0.500
4 O 0.000 0.500 0.500
5 O 0.500 0.000 0.500

---

(7)
A geometry-optimized RbAlPO2 structure. Source: Alexandria via LeMat-Bulk, functional PBE.

## Properties
For the total energy, the calculation gives -2.862 eV per atom. As for the symmetry: P4/mmm, No. 123. As for the uncorrected formation energy: 1146 meV per atom.

abc: 4.210 4.210 6.565
angles: 90.00 90.00 90.00
Sites, in units of the cell vectors:
1 Rb 0.000 0.000 0.000
2 Al 0.500 0.500 0.500
3 P 0.000 0.000 0.500
4 O 0.000 0.500 0.000
5 O 0.500 0.000 0.000

---

(8)
A geometry-optimized RbAlP2O structure. Source: Alexandria via LeMat-Bulk, functional PBE.

## Properties
For the total energy, the calculation gives -2.465 eV per atom. As for the symmetry: P4/mmm, No. 123. As for the uncorrected formation energy: 1633 meV per atom.

abc: 5.453 5.453 4.286
angles: 90.00 90.00 90.00
Sites, in units of the cell vectors:
1 Rb 0.000 0.000 0.000
2 Al 0.500 0.500 0.500
3 P 0.000 0.500 0.000
4 P 0.500 0.000 0.000
5 O 0.000 0.000 0.500

---

(9)
A geometry-optimized Rb3Al2P3O12 structure. Source: Alexandria via LeMat-Bulk, functional PBE.

## Properties
For the total energy, the calculation gives -6.822 eV per atom. As for the symmetry: Cmc2_1, No. 36. As for the uncorrected formation energy: -2516 meV per atom.

abc: 9.726 9.726 8.988
angles: 90.00 90.00 53.98
Sites, in units of the cell vectors:
1 Rb 0.133 0.867 0.500
2 Rb 0.335 0.437 0.814
3 Rb 0.437 0.335 0.314
4 Rb 0.563 0.665 0.814
5 Rb 0.665 0.563 0.314
6 Rb 0.867 0.133 0.000
7 Al 0.016 0.320 0.659
8 Al 0.320 0.016 0.159
9 Al 0.680 0.984 0.659
10 Al 0.984 0.680 0.159
11 P 0.034 0.375 0.998
12 P 0.265 0.735 0.096
13 P 0.375 0.034 0.498
14 P 0.625 0.966 0.998
15 P 0.735 0.265 0.596
16 P 0.966 0.625 0.498
17 O 0.082 0.352 0.830
18 O 0.090 0.486 0.060
19 O 0.128 0.730 0.190
20 O 0.150 0.196 0.069
21 O 0.151 0.548 0.526
22 O 0.196 0.150 0.569
23 O 0.200 0.800 0.939
24 O 0.270 0.872 0.190
25 O 0.352 0.082 0.330
26 O 0.437 0.563 0.105
27 O 0.452 0.849 0.526
28 O 0.486 0.090 0.560
29 O 0.514 0.910 0.060
30 O 0.548 0.151 0.026
31 O 0.563 0.437 0.605
32 O 0.648 0.918 0.830
33 O 0.730 0.128 0.690
34 O 0.800 0.200 0.439
35 O 0.804 0.850 0.069
36 O 0.849 0.452 0.026
37 O 0.850 0.804 0.569
38 O 0.872 0.270 0.690
39 O 0.910 0.514 0.560
40 O 0.918 0.648 0.330

---

(10)
A geometry-optimized RbAlP2O structure. Source: Alexandria via LeMat-Bulk, functional PBE.

## Properties
For the total energy, the calculation gives -4.296 eV per atom. As for the symmetry: P4/mmm, No. 123. As for the uncorrected formation energy: -198 meV per atom.

abc: 5.496 5.496 3.428
angles: 90.00 90.00 90.00
Sites, in units of the cell vectors:
1 Rb 0.000 0.000 0.000
2 Al 0.500 0.500 0.500
3 P 0.000 0.500 0.500
4 P 0.500 0.000 0.500
5 O 0.500 0.500 0.000

---

(11)
A geometry-optimized RbAlPO2 structure. Source: Alexandria via LeMat-Bulk, functional PBE.

## Properties
For the total energy, the calculation gives -4.617 eV per atom. As for the symmetry: P4/mmm, No. 123. As for the uncorrected formation energy: -610 meV per atom.

abc: 3.990 3.990 4.871
angles: 90.00 90.00 90.00
Sites, in units of the cell vectors:
1 Rb 0.000 0.000 0.000
2 Al 0.500 0.500 0.500
3 P 0.500 0.500 0.000
4 O 0.000 0.500 0.500
5 O 0.500 0.000 0.500

---

(12)
A geometry-optimized RbAlP2O8 structure. Source: Alexandria via LeMat-Bulk, functional PBE.

## Properties
For the total energy, the calculation gives -6.738 eV per atom. As for the symmetry: P-3m1, No. 164. As for the uncorrected formation energy: -2138 meV per atom.

abc: 5.150 5.150 8.179
angles: 90.00 90.00 120.00
Sites, in units of the cell vectors:
1 Rb 0.000 0.000 0.000
2 Al 0.000 0.000 0.500
3 P 0.333 0.667 0.695
4 P 0.667 0.333 0.305
5 O 0.170 0.340 0.634
6 O 0.170 0.830 0.634
7 O 0.333 0.667 0.882
8 O 0.340 0.170 0.366
9 O 0.660 0.830 0.634
10 O 0.667 0.333 0.118
11 O 0.830 0.170 0.366
12 O 0.830 0.660 0.366

---

Q: Among the records above, which one has the highest uncorrected formation energy?
A: number 8

---

Copy entry 8 word for word.
A geometry-optimized RbAlP2O structure. Source: Alexandria via LeMat-Bulk, functional PBE.

## Properties
For the total energy, the calculation gives -2.465 eV per atom. As for the symmetry: P4/mmm, No. 123. As for the uncorrected formation energy: 1633 meV per atom.

abc: 5.453 5.453 4.286
angles: 90.00 90.00 90.00
Sites, in units of the cell vectors:
1 Rb 0.000 0.000 0.000
2 Al 0.500 0.500 0.500
3 P 0.000 0.500 0.000
4 P 0.500 0.000 0.000
5 O 0.000 0.000 0.500

---

Q: Which value of uncorrected formation energy does entry 6 give?
A: 40 meV per atom

---

Q: Look up the uncorrected formation energy of the fifth one.
A: -858 meV per atom